Entry from OQMD: Zn2Tc3Ge after structural relaxation (PBE).

a = 3.3712 Å, b = 3.3712 Å, c = 8.2445 Å
α = 90.00°, β = 90.00°, γ = 90.00°
With the nearest neighbours (Å) after each atom.
Positions (direct):
Zn: 0.0000 0.5000 0.2394  7 Tc 2.63-2.73, 2 Ge 2.73
Zn: 0.5000 0.0000 0.7606  7 Tc 2.63-2.73, 2 Ge 2.73
Tc: 0.0000 0.5000 0.9198  5 Zn 2.63-2.72, 4 Tc 2.73
Tc: 0.5000 0.0000 0.0802  5 Zn 2.63-2.72, 4 Tc 2.73
Tc: 0.5000 0.5000 0.5000  4 Ge 2.38
Ge: 0.0000 0.0000 0.5000  4 Tc 2.38

calculated volume = 93.7 Å³/f.u.
electronic total energy = -6.01 eV/atom
theoretical density = 8.82 g cm⁻³

Entry from OQMD: ZnTcGe after structural relaxation (PBE).

a = 5.9195 Å, b = 5.9195 Å, c = 5.9195 Å
α = 90.00°, β = 90.00°, γ = 90.00°
With the nearest neighbours (Å) after each atom.
Positions (direct):
Zn: 0.0000 0.0000 0.0000  4 Tc 2.56
Zn: 0.0000 0.5000 0.5000  4 Tc 2.56
Zn: 0.5000 0.0000 0.5000  4 Tc 2.56
Zn: 0.5000 0.5000 0.0000  4 Tc 2.56
Tc: 0.2500 0.2500 0.7500  4 Ge 2.56, 4 Zn 2.56
Tc: 0.2500 0.7500 0.2500  4 Ge 2.56, 4 Zn 2.56
Tc: 0.7500 0.2500 0.2500  4 Ge 2.56, 4 Zn 2.56
Tc: 0.7500 0.7500 0.7500  4 Ge 2.56, 4 Zn 2.56
Ge: 0.0000 0.0000 0.5000  4 Tc 2.56
Ge: 0.0000 0.5000 0.0000  4 Tc 2.56
Ge: 0.5000 0.0000 0.0000  4 Tc 2.56
Ge: 0.5000 0.5000 0.5000  4 Tc 2.56

calculated volume = 51.9 Å³/f.u.
energy above the lowest structure with this stoichiometry = 0.799 kcal/mol of atoms
theoretical density = 7.56 g cm⁻³

Entry from OQMD: ZnTcGe2 after structural relaxation (PBE).

a = 6.3431 Å, b = 6.3431 Å, c = 6.3431 Å
α = 90.00°, β = 90.00°, γ = 90.00°
With the nearest neighbours (Å) after each atom.
Positions (direct):
Zn: 0.0000 0.0000 0.0000  4 Tc 2.75, 4 Ge 2.75
Zn: 0.0000 0.5000 0.5000  4 Tc 2.75, 4 Ge 2.75
Zn: 0.5000 0.0000 0.5000  4 Tc 2.75, 4 Ge 2.75
Zn: 0.5000 0.5000 0.0000  4 Tc 2.75, 4 Ge 2.75
Tc: 0.2500 0.2500 0.7500  4 Ge 2.75, 4 Zn 2.75
Tc: 0.2500 0.7500 0.2500  4 Ge 2.75, 4 Zn 2.75
Tc: 0.7500 0.2500 0.2500  4 Ge 2.75, 4 Zn 2.75
Tc: 0.7500 0.7500 0.7500  4 Ge 2.75, 4 Zn 2.75
Ge: 0.0000 0.0000 0.5000  4 Ge 2.75, 4 Tc 2.75
Ge: 0.0000 0.5000 0.0000  4 Ge 2.75, 4 Tc 2.75
Ge: 0.2500 0.2500 0.2500  4 Zn 2.75, 4 Ge 2.75
Ge: 0.2500 0.7500 0.7500  4 Zn 2.75, 4 Ge 2.75
Ge: 0.5000 0.0000 0.0000  4 Ge 2.75, 4 Tc 2.75
Ge: 0.5000 0.5000 0.5000  4 Ge 2.75, 4 Tc 2.75
Ge: 0.7500 0.2500 0.7500  4 Zn 2.75, 4 Ge 2.75
Ge: 0.7500 0.7500 0.2500  4 Ge 2.75, 4 Zn 2.75

calculated volume = 63.8 Å³/f.u.
electronic total energy = -4.75 eV/atom
theoretical density = 8.03 g cm⁻³

Entry from OQMD: ZnTcGe after structural relaxation (PBE).

a = 5.8277 Å, b = 5.8277 Å, c = 5.8277 Å
α = 90.00°, β = 90.00°, γ = 90.00°
With the nearest neighbours (Å) after each atom.
Positions (direct):
Zn: 0.0000 0.0000 0.0000  4 Ge 2.52
Zn: 0.0000 0.5000 0.5000  4 Ge 2.52
Zn: 0.5000 0.0000 0.5000  4 Ge 2.52
Zn: 0.5000 0.5000 0.0000  4 Ge 2.52
Tc: 0.0000 0.0000 0.5000  4 Ge 2.52
Tc: 0.0000 0.5000 0.0000  4 Ge 2.52
Tc: 0.5000 0.0000 0.0000  4 Ge 2.52
Tc: 0.5000 0.5000 0.5000  4 Ge 2.52
Ge: 0.2500 0.2500 0.7500  4 Tc 2.52, 4 Zn 2.52
Ge: 0.2500 0.7500 0.2500  4 Tc 2.52, 4 Zn 2.52
Ge: 0.7500 0.2500 0.2500  4 Tc 2.52, 4 Zn 2.52
Ge: 0.7500 0.7500 0.7500  4 Tc 2.52, 4 Zn 2.52

calculated volume = 49.5 Å³/f.u.
energy above the lowest structure with this stoichiometry = 0.000 kcal/mol of atoms
theoretical density = 7.92 g cm⁻³

Entry from OQMD: Zr2TcGe2 after structural relaxation (PBE).

a = 4.0843 Å, b = 4.0843 Å, c = 11.8815 Å
α = 90.00°, β = 90.00°, γ = 90.00°
With the nearest neighbours (Å) after each atom.
Positions (direct):
Zr: 0.0000 0.5000 0.2500  4 Ge 2.74, 4 Zr 2.89
Zr: 0.0000 0.5000 0.7500  4 Ge 2.74, 4 Zr 2.89
Zr: 0.5000 0.0000 0.2500  4 Ge 2.74, 4 Zr 2.89
Zr: 0.5000 0.0000 0.7500  4 Ge 2.74, 4 Zr 2.89
Tc: 0.0000 0.0000 0.0000  8 Ge 3.10
Tc: 0.5000 0.5000 0.5000  8 Ge 3.10
Ge: 0.0000 0.0000 0.4043  1 Ge 2.27
Ge: 0.0000 0.0000 0.5957  1 Ge 2.27
Ge: 0.5000 0.5000 0.0957  1 Ge 2.27
Ge: 0.5000 0.5000 0.9043  1 Ge 2.27

calculated volume = 99.1 Å³/f.u.
energy above the lowest structure with this stoichiometry = 22.895 kcal/mol of atoms
theoretical density = 7.13 g cm⁻³

Entry from OQMD: Zr2TcGe2 after structural relaxation (PBE).

a = 3.5062 Å, b = 3.5062 Å, c = 15.4844 Å
α = 90.00°, β = 90.00°, γ = 90.00°
With the nearest neighbours (Å) after each atom.
Positions (direct):
Zr: 0.0000 0.0000 0.0995  4 Ge 2.92, 4 Tc 2.92, 1 Zr 3.08
Zr: 0.0000 0.0000 0.9005  4 Ge 2.92, 4 Tc 2.92, 1 Zr 3.08
Zr: 0.5000 0.5000 0.4005  4 Ge 2.92, 4 Tc 2.92, 1 Zr 3.08
Zr: 0.5000 0.5000 0.5995  4 Ge 2.92, 4 Tc 2.92, 1 Zr 3.08
Tc: 0.0000 0.0000 0.5000  8 Zr 2.92
Tc: 0.5000 0.5000 0.0000  8 Zr 2.92
Ge: 0.0000 0.5000 0.2500  4 Ge 2.48
Ge: 0.0000 0.5000 0.7500  4 Ge 2.48
Ge: 0.5000 0.0000 0.2500  4 Ge 2.48
Ge: 0.5000 0.0000 0.7500  4 Ge 2.48

calculated volume = 95.2 Å³/f.u.
energy above the lowest structure with this stoichiometry = 12.435 kcal/mol of atoms
theoretical density = 7.43 g cm⁻³

Entry from OQMD: Zr2TcGe2 after structural relaxation (PBE).

a = 6.6994 Å, b = 6.6994 Å, c = 3.9623 Å
α = 90.00°, β = 90.00°, γ = 90.00°
With the nearest neighbours (Å) after each atom.
Positions (direct):
Zr: 0.1715 0.3285 0.0000  6 Ge 2.70-2.86
Zr: 0.3285 0.8285 0.0000  6 Ge 2.70-2.86
Zr: 0.6715 0.1715 0.0000  6 Ge 2.70-2.86
Zr: 0.8285 0.6715 0.0000  6 Ge 2.70-2.86
Tc: 0.0000 0.0000 0.5000  4 Ge 2.61
Tc: 0.5000 0.5000 0.5000  4 Ge 2.61
Ge: 0.1352 0.6352 0.5000  1 Ge 2.56, 2 Tc 2.61, 6 Zr 2.70-2.86
Ge: 0.3648 0.1352 0.5000  1 Ge 2.56, 2 Tc 2.61, 6 Zr 2.70-2.86
Ge: 0.6352 0.8648 0.5000  1 Ge 2.56, 2 Tc 2.61, 6 Zr 2.70-2.86
Ge: 0.8648 0.3648 0.5000  1 Ge 2.56, 2 Tc 2.61, 6 Zr 2.70-2.86

calculated volume = 88.9 Å³/f.u.
energy above the lowest structure with this stoichiometry = 0.000 kcal/mol of atoms
theoretical density = 7.95 g cm⁻³

Entry from OQMD: Zr2TcGe after structural relaxation (PBE).

a = 6.5802 Å, b = 6.5802 Å, c = 6.5802 Å
α = 90.00°, β = 90.00°, γ = 90.00°
With the nearest neighbours (Å) after each atom.
Positions (direct):
Zr: 0.0000 0.0000 0.0000  4 Zr 2.85, 4 Tc 2.85
Zr: 0.0000 0.5000 0.5000  4 Tc 2.85, 4 Zr 2.85
Zr: 0.2500 0.2500 0.2500  4 Ge 2.85, 4 Zr 2.85
Zr: 0.2500 0.7500 0.7500  4 Ge 2.85, 4 Zr 2.85
Zr: 0.5000 0.0000 0.5000  4 Tc 2.85, 4 Zr 2.85
Zr: 0.5000 0.5000 0.0000  4 Tc 2.85, 4 Zr 2.85
Zr: 0.7500 0.2500 0.7500  4 Ge 2.85, 4 Zr 2.85
Zr: 0.7500 0.7500 0.2500  4 Ge 2.85, 4 Zr 2.85
Tc: 0.2500 0.2500 0.7500  4 Ge 2.85, 4 Zr 2.85
Tc: 0.2500 0.7500 0.2500  4 Ge 2.85, 4 Zr 2.85
Tc: 0.7500 0.2500 0.2500  4 Ge 2.85, 4 Zr 2.85
Tc: 0.7500 0.7500 0.7500  4 Ge 2.85, 4 Zr 2.85
Ge: 0.0000 0.0000 0.5000  4 Zr 2.85, 4 Tc 2.85
Ge: 0.0000 0.5000 0.0000  4 Zr 2.85, 4 Tc 2.85
Ge: 0.5000 0.0000 0.0000  4 Zr 2.85, 4 Tc 2.85
Ge: 0.5000 0.5000 0.5000  4 Zr 2.85, 4 Tc 2.85

calculated volume = 71.2 Å³/f.u.
electronic total energy = -8.23 eV/atom
theoretical density = 8.23 g cm⁻³

Entry from OQMD: ZrTc2Ge after structural relaxation (PBE).

a = 6.3868 Å, b = 6.3868 Å, c = 6.3868 Å
α = 90.00°, β = 90.00°, γ = 90.00°
With the nearest neighbours (Å) after each atom.
Positions (direct):
Zr: 0.0000 0.0000 0.0000  4 Ge 2.77, 4 Tc 2.77
Zr: 0.0000 0.5000 0.5000  4 Ge 2.77, 4 Tc 2.77
Zr: 0.5000 0.0000 0.5000  4 Ge 2.77, 4 Tc 2.77
Zr: 0.5000 0.5000 0.0000  4 Ge 2.77, 4 Tc 2.77
Tc: 0.0000 0.0000 0.5000  4 Tc 2.77, 4 Ge 2.77
Tc: 0.0000 0.5000 0.0000  4 Tc 2.77, 4 Ge 2.77
Tc: 0.2500 0.2500 0.2500  4 Zr 2.77, 4 Tc 2.77
Tc: 0.2500 0.7500 0.7500  4 Zr 2.77, 4 Tc 2.77
Tc: 0.5000 0.0000 0.0000  4 Tc 2.77, 4 Ge 2.77
Tc: 0.5000 0.5000 0.5000  4 Tc 2.77, 4 Ge 2.77
Tc: 0.7500 0.2500 0.7500  4 Zr 2.77, 4 Tc 2.77
Tc: 0.7500 0.7500 0.2500  4 Zr 2.77, 4 Tc 2.77
Ge: 0.2500 0.2500 0.7500  4 Tc 2.77, 4 Zr 2.77
Ge: 0.2500 0.7500 0.2500  4 Tc 2.77, 4 Zr 2.77
Ge: 0.7500 0.2500 0.2500  4 Tc 2.77, 4 Zr 2.77
Ge: 0.7500 0.7500 0.7500  4 Tc 2.77, 4 Zr 2.77

calculated volume = 65.1 Å³/f.u.
electronic total energy = -8.47 eV/atom
theoretical density = 9.18 g cm⁻³

Entry from OQMD: Th2GeTe after structural relaxation (PBE).

a = 4.3645 Å, b = 4.3645 Å, c = 21.8978 Å
α = 90.00°, β = 90.00°, γ = 120.00°
With the nearest neighbours (Å) after each atom.
Positions (direct):
Th: 0.0000 0.0000 0.2387  3 Ge 2.97, 3 Te 3.26
Th: 0.0000 0.0000 0.7613  3 Ge 2.97, 3 Te 3.26
Th: 0.3333 0.6667 0.4279  3 Ge 2.97, 3 Te 3.26
Th: 0.3333 0.6667 0.9054  3 Ge 2.97, 3 Te 3.26
Th: 0.6667 0.3333 0.0946  3 Ge 2.97, 3 Te 3.26
Th: 0.6667 0.3333 0.5721  3 Ge 2.97, 3 Te 3.26
Ge: 0.0000 0.0000 0.5000  6 Th 2.97
Ge: 0.3333 0.6667 0.1667  6 Th 2.97
Ge: 0.6667 0.3333 0.8333  6 Th 2.97
Te: 0.0000 0.0000 0.0000  6 Th 3.26
Te: 0.3333 0.6667 0.6667  6 Th 3.26
Te: 0.6667 0.3333 0.3333  6 Th 3.26

calculated volume = 120.4 Å³/f.u.
electronic total energy = -6.66 eV/atom
theoretical density = 9.16 g cm⁻³

Entry from OQMD: TmTlGeTe3 after structural relaxation (PBE).

a = 7.9287 Å, b = 7.9287 Å, c = 11.6377 Å
α = 90.00°, β = 90.00°, γ = 146.39°
With the nearest neighbours (Å) after each atom.
Positions (direct):
Tm: 0.0000 0.0000 0.0000  6 Te 3.13-3.14
Tm: 0.0000 0.0000 0.5000  6 Te 3.13-3.14
Tl: 0.2493 0.7507 0.7500  8 Te 3.48-3.85
Tl: 0.7507 0.2493 0.2500  8 Te 3.48-3.85
Ge: 0.4652 0.5348 0.2500  4 Te 2.84-2.86
Ge: 0.5348 0.4652 0.7500  4 Te 2.84-2.86
Te: 0.0779 0.9221 0.2500  2 Ge 2.86, 2 Tm 3.14
Te: 0.3642 0.6358 0.0445  1 Ge 2.84, 2 Tm 3.13
Te: 0.3642 0.6358 0.4555  1 Ge 2.84, 2 Tm 3.13
Te: 0.6358 0.3642 0.5445  1 Ge 2.84, 2 Tm 3.13
Te: 0.6358 0.3642 0.9555  1 Ge 2.84, 2 Tm 3.13
Te: 0.9221 0.0779 0.7500  2 Ge 2.86, 2 Tm 3.14

calculated volume = 202.5 Å³/f.u.
energy above the lowest structure with this stoichiometry = 2.290 kcal/mol of atoms
theoretical density = 6.80 g cm⁻³

Entry from OQMD: TmTlGeTe3 after structural relaxation (PBE).

a = 16.0925 Å, b = 4.2515 Å, c = 12.1998 Å
α = 90.00°, β = 90.00°, γ = 90.00°
With the nearest neighbours (Å) after each atom.
Positions (direct):
Tm: 0.0097 0.2500 0.1541  6 Te 3.03-3.07
Tm: 0.4903 0.7500 0.6541  6 Te 3.03-3.07
Tm: 0.5097 0.2500 0.3459  6 Te 3.03-3.07
Tm: 0.9903 0.7500 0.8459  6 Te 3.03-3.07
Tl: 0.2269 0.7500 0.5700  6 Te 3.39-3.79, 1 Ge 3.56
Tl: 0.2731 0.2500 0.0700  6 Te 3.39-3.79, 1 Ge 3.56
Tl: 0.7269 0.7500 0.9300  6 Te 3.39-3.79, 1 Ge 3.56
Tl: 0.7731 0.2500 0.4300  6 Te 3.39-3.79, 1 Ge 3.56
Ge: 0.0354 0.7500 0.4244  3 Te 2.73-2.85, 2 Ge 3.04
Ge: 0.4646 0.2500 0.9244  3 Te 2.73-2.85, 2 Ge 3.04
Ge: 0.5354 0.7500 0.0756  3 Te 2.73-2.85, 2 Ge 3.04
Ge: 0.9646 0.2500 0.5756  3 Te 2.73-2.85, 2 Ge 3.04
Te: 0.0912 0.2500 0.7245  1 Ge 2.73
Te: 0.1112 0.7500 0.0369  3 Tm 3.03-3.04, 2 Tl 3.39
Te: 0.1358 0.2500 0.3424  2 Ge 2.85, 1 Tm 3.07
Te: 0.3642 0.7500 0.8424  2 Ge 2.85, 1 Tm 3.07
Te: 0.3888 0.2500 0.5369  3 Tm 3.03-3.04, 2 Tl 3.39
Te: 0.4088 0.7500 0.2245  1 Ge 2.73
Te: 0.5912 0.2500 0.7755  1 Ge 2.73
Te: 0.6112 0.7500 0.4631  3 Tm 3.03-3.04, 2 Tl 3.39
Te: 0.6358 0.2500 0.1576  2 Ge 2.85, 1 Tm 3.07
Te: 0.8642 0.7500 0.6576  2 Ge 2.85, 1 Tm 3.07
Te: 0.8888 0.2500 0.9631  3 Tm 3.03-3.04, 2 Tl 3.39
Te: 0.9088 0.7500 0.2755  1 Ge 2.73

calculated volume = 208.7 Å³/f.u.
energy above the lowest structure with this stoichiometry = 0.000 kcal/mol of atoms
theoretical density = 6.59 g cm⁻³

Entry from OQMD: ZrTlGeTe3 after structural relaxation (PBE).

a = 7.8989 Å, b = 7.8989 Å, c = 12.0932 Å
α = 90.00°, β = 90.00°, γ = 150.98°
With the nearest neighbours (Å) after each atom.
Positions (direct):
Zr: 0.0000 0.0000 0.0000  6 Te 2.89-3.07
Zr: 0.0000 0.0000 0.5000  6 Te 2.89-3.07
Tl: 0.2719 0.7281 0.7500  2 Ge 3.27, 4 Te 3.44-3.56
Tl: 0.7281 0.2719 0.2500  2 Ge 3.27, 4 Te 3.44-3.56
Ge: 0.3984 0.6016 0.2500  4 Te 2.87-2.95
Ge: 0.6016 0.3984 0.7500  4 Te 2.87-2.95
Te: 0.0347 0.9653 0.2500  2 Ge 2.87, 2 Zr 3.07
Te: 0.3621 0.6379 0.0101  2 Zr 2.89, 1 Ge 2.95
Te: 0.3621 0.6379 0.4899  2 Zr 2.89, 1 Ge 2.95
Te: 0.6379 0.3621 0.5101  2 Zr 2.89, 1 Ge 2.95
Te: 0.6379 0.3621 0.9899  2 Zr 2.89, 1 Ge 2.95
Te: 0.9653 0.0347 0.7500  2 Ge 2.87, 2 Zr 3.07

calculated volume = 183.0 Å³/f.u.
electronic total energy = -4.54 eV/atom
theoretical density = 6.81 g cm⁻³